# 1
Computed, not measured: a relaxed Ta2PtAu crystal at the GGA-PBEsol level of DFT.

crystal system = orthorhombic
formation energy = -0.354 eV per atom

Unit cell a=2.8099 b=4.9963 c=4.9963 alpha=111.26 beta=90.00 gamma=90.00
Atoms (fractional coordinates):
1 Au 0.5000 0.0000 0.0000
2 Pt 0.5000 0.5000 0.5000
3 Ta 0.0000 0.5000 0.0000
4 Ta 0.0000 0.0000 0.5000


# 2
Computed, not measured: a relaxed Ba2Tl2O5 crystal at the GGA-PBEsol level of DFT.

ΔE_f (raw) = -1.595 eV/atom
crystal system = orthorhombic

Unit cell a=6.0205 b=6.3440 c=17.1937 alpha=90.00 beta=90.00 gamma=90.00
Atoms (fractional coordinates):
1 Ba 0.5041 0.5203 0.1101
2 Ba 0.9959 0.0203 0.8899
3 Ba 0.4959 0.4797 0.6101
4 Ba 0.0041 0.9797 0.3899
5 Ba 0.4959 0.4797 0.8899
6 Ba 0.0041 0.9797 0.1101
7 Ba 0.5041 0.5203 0.3899
8 Ba 0.9959 0.0203 0.6101
9 O 0.7528 0.7739 0.9908
10 O 0.7472 0.2739 0.0092
11 O 0.2472 0.2261 0.4908
12 O 0.2528 0.7261 0.5092
13 O 0.2472 0.2261 0.0092
14 O 0.2528 0.7261 0.9908
15 O 0.7528 0.7739 0.5092
16 O 0.7472 0.2739 0.4908
17 O 0.4691 0.9334 0.1378
18 O 0.0309 0.4334 0.8622
19 O 0.5309 0.0666 0.6378
20 O 0.9691 0.5666 0.3622
21 O 0.5309 0.0666 0.8622
22 O 0.9691 0.5666 0.1378
23 O 0.4691 0.9334 0.3622
24 O 0.0309 0.4334 0.6378
25 O 0.3942 0.3828 0.2500
26 O 0.1058 0.8828 0.7500
27 O 0.6058 0.6172 0.7500
28 O 0.8942 0.1172 0.2500
29 Tl 0.5000 0.0000 0.0000
30 Tl 0.0000 0.5000 0.0000
31 Tl 0.5000 0.0000 0.5000
32 Tl 0.0000 0.5000 0.5000
33 Tl 0.5273 0.0573 0.2500
34 Tl 0.9727 0.5573 0.7500
35 Tl 0.4727 0.9427 0.7500
36 Tl 0.0273 0.4427 0.2500